NaSrSbWO6: relaxed, PBE with a Hubbard U.

Output
The calculation puts the electronic total energy at -6.35 eV per atom. The total magnetic moment comes out at 0.000 μB/atom. The calculation puts the density at 5.77 Mg/m³.

abc: 5.9300 5.9300 5.9300
angles: 60.00 60.00 60.00
Sites, in units of the cell vectors:
1 Na 0.2500 0.2500 0.2500
2 Sr 0.7500 0.7500 0.7500
3 Sb 0.0000 0.0000 0.0000
4 W 0.5000 0.5000 0.5000
5 O 0.2675 0.7325 0.2675
6 O 0.7325 0.2675 0.7325
7 O 0.2675 0.7325 0.7325
8 O 0.7325 0.2675 0.2675
9 O 0.2675 0.2675 0.7325
10 O 0.7325 0.7325 0.2675